Compound: Rb2PaBr4F2
Source: Alexandria
Functional: PBE-GGA
Structure: relaxed

```
Rb2PaBr4F2
1.0
-1.0579 5.1472 -2.9612
-4.0607 3.5580 5.0869
4.0024 4.6727 4.1439
Rb Pa Br F
2 1 4 2
Direct
0.1729 0.6725 0.6725
0.8271 0.3275 0.3275
0.5000 0.0000 0.0000
0.2946 0.6405 0.1516
0.7054 0.8484 0.3595
0.7054 0.3595 0.8484
0.2946 0.1516 0.6405
0.2245 0.1369 0.1369
0.7755 0.8631 0.8631
```

M_tot ... 1.0 μB/f.u.
Energy ... -0.3444 Ry per atom
E_form (uncorrected) ... -20.31 eV per formula unit

Compound: CrSi2Ru
Source: Alexandria
Functional: PBE-GGA
Structure: relaxed

```
CrSi2Ru
1.0
-2.0827 0.5244 -3.6000
-2.9642 -2.7422 -1.1252
-4.0353 1.1337 0.0591
Cr Ru Si
1 1 2
Direct
0.5000 0.5000 0.5000
0.7500 0.7500 0.7500
0.0000 0.0000 0.0000
0.2500 0.2500 0.2500
```

M_tot ... 0.4 μB/f.u.
Energy ... -0.5393 Ry per atom
E_form (uncorrected) ... 0.39 eV per formula unit

Compound: ScIn2Rh
Source: Alexandria
Functional: PBE-GGA
Structure: relaxed

```
ScIn2Rh
1.0
9.0813 0.0146 0.0086
8.4742 3.2645 0.0086
8.4742 1.5829 2.8551
In Rh Sc
2 1 1
Direct
0.9905 0.9905 0.9905
0.5095 0.5095 0.5095
0.2500 0.2500 0.2500
0.7500 0.7500 0.7500
```

M_tot ... 0.0 μB/f.u.
ΔE_f ... -219 meV/atom
Energy ... -0.3681 Ry per atom

Compound: YReHg2
Source: Alexandria
Functional: PBE-GGA
Structure: relaxed

```
YReHg2
1.0
3.0765 -0.0240 0.0000
-0.7562 2.9823 0.0000
0.0000 0.0000 9.3903
Hg Re Y
2 1 1
Direct
0.0000 0.0000 0.0022
0.5000 0.5000 0.2683
0.0000 0.0000 0.5016
0.5000 0.5000 0.7279
```

M_tot ... 0.0 μB/f.u.
ΔE_f ... 400 meV/atom
Energy ... -0.3292 Ry per atom
Energy relative to the lowest polymorph listed for this composition ... 45 kJ/mol of formula units

Compound: Pr2SmY3Te6
Source: Alexandria
Functional: PBE-GGA
Structure: relaxed

```
Pr2SmY3Te6
1.0
4.3944 0.0000 0.0000
0.0000 8.9499 0.2639
-2.1972 -2.6375 9.3285
Pr Sm Y Te
2 1 3 6
Direct
0.8323 0.6654 0.6646
0.1677 0.3346 0.3354
0.5000 0.0000 0.0000
0.5000 0.5000 0.0000
0.8309 0.1663 0.6619
0.1691 0.8337 0.3381
0.3329 0.9260 0.6659
0.6630 0.5908 0.3260
0.6671 0.0740 0.3341
0.9964 0.2527 0.9927
0.0036 0.7473 0.0073
0.3370 0.4092 0.6740
```

M_tot ... 0.0 μB/f.u.
Energy ... -0.4223 Ry per atom
E_form (uncorrected) ... -16.43 eV per formula unit

Compound: CaNi3As3
Source: Alexandria
Functional: PBE-GGA
Structure: relaxed

```
CaNi3As3
1.0
-4.5490 -2.2421 4.0191
-0.4801 -5.3891 -3.5498
4.5771 -2.7936 3.6221
Ni As Ca
6 6 2
Direct
0.0000 0.2500 0.5000
0.0000 0.7500 0.5000
0.5000 0.0000 0.7500
0.7500 0.5000 0.0000
0.5000 0.0000 0.2500
0.2500 0.5000 0.0000
0.2500 0.0000 0.5000
0.0000 0.5000 0.2500
0.5000 0.7500 0.0000
0.7500 0.0000 0.5000
0.0000 0.5000 0.7500
0.5000 0.2500 0.0000
0.5000 0.5000 0.5000
0.0000 0.0000 0.0000
```

M_tot ... 0.0 μB/f.u.
ΔE_f ... -347 meV/atom
Energy ... -0.3751 Ry per atom
Energy relative to the lowest polymorph listed for this composition ... 75 kJ/mol of formula units